1.
Density functional theory data (PBE-GGA) for a relaxed Sr2NiSe crystal.

Its uncorrected energy is -3.72 eV per atom. For the density, the calculation gives 4070 kg/m3. Its energy relative to the elements, uncorrected is -0.567 eV per atom. The density of states at the Fermi level comes out at 0.00 states/eV/atom.

The space group is I-42d (No. 122) and the conventional cell measures 7.7772, 7.7772 and 8.4425 Å, with angles of 90.00, 90.00 and 90.00 degrees. Symmetry generates all atoms from Sr at (0.2379, 0.7500, 0.1250), Ni at (0.0000, 0.0000, 0.0000) and Se at (0.0000, 0.0000, 0.5000).

2.
Density functional theory data (PBE-GGA) for a relaxed YTmTlNi crystal.

Its uncorrected energy is -5.04 eV per atom. For the density, the calculation gives 9299 kg/m3. The density of states at the Fermi level comes out at 1.00 states/eV/atom.

The space group is F-43m (No. 216) and the conventional cell measures 7.1926, 7.1926 and 7.1926 Å, with angles of 90.00, 90.00 and 90.00 degrees. Symmetry generates all atoms from Y at (0.0000, 0.0000, 0.0000), Tm at (0.0000, 0.0000, 0.5000), Tl at (0.2500, 0.2500, 0.2500) and Ni at (0.2500, 0.2500, 0.7500).

3.
Density functional theory data (PBE-GGA) for a relaxed MgTaB2Au crystal.

Its uncorrected energy is -4.55 eV per atom. For the density, the calculation gives 7086 kg/m3. The density of states at the Fermi level comes out at 0.80 states/eV/atom.

The space group is P4/mmm (No. 123) and the conventional cell measures 4.2665, 4.2665 and 5.4566 Å, with angles of 90.00, 90.00 and 90.00 degrees. Symmetry generates all atoms from Mg at (0.0000, 0.0000, 0.0000), Ta at (0.0000, 0.0000, 0.5000), B at (0.0000, 0.5000, 0.5000) and Au at (0.5000, 0.5000, 0.0000).

4.
Density functional theory data (PBE-GGA) for a relaxed YCoN3 crystal.

Its uncorrected energy is -5.68 eV per atom. For the density, the calculation gives 3931 kg/m3. Its energy relative to the elements, uncorrected is 2.034 eV per atom. The density of states at the Fermi level comes out at 1.76 states/eV/atom.

The space group is Pm-3m (No. 221) and the conventional cell measures 4.3123, 4.3123 and 4.3123 Å, with angles of 90.00, 90.00 and 90.00 degrees. Symmetry generates all atoms from Y at (0.0000, 0.0000, 0.0000), Co at (0.5000, 0.5000, 0.5000) and N at (0.0000, 0.0000, 0.5000).

Q: uncorrected energy of number 2 (YTmTlNi)?
A: -5.04 eV per atom